This record from Alexandria via LeMat-Bulk describes a relaxed structure of NdDy3Er3. The functional is GGA-PBE.

Properties
- energy above the most stable polymorph in this dataset (eV/atom) = 0.000
- total DFT energy (no corrections) (Ha/atom) = -0.16081
- M_tot (μB/f.u.) = 0.0
- energy relative to the elements (eV/atom) = 0.233

a b c (Å): 10.641 10.641 10.641
angles (deg): 109.47 109.47 109.47
Atoms (fractional coordinates):
Nd 0.000 0.000 0.255
Nd 0.000 0.255 0.000
Nd 0.255 0.000 0.000
Nd 0.745 0.745 0.745
Dy 0.000 0.300 0.567
Dy 0.000 0.567 0.300
Dy 0.267 0.700 0.700
Dy 0.300 0.000 0.567
Dy 0.300 0.567 0.000
Dy 0.433 0.433 0.733
Dy 0.433 0.733 0.433
Dy 0.567 0.000 0.300
Dy 0.567 0.300 0.000
Dy 0.700 0.267 0.700
Dy 0.700 0.700 0.267
Dy 0.733 0.433 0.433
Er 0.000 0.612 0.806
Er 0.000 0.806 0.612
Er 0.194 0.194 0.806
Er 0.194 0.388 0.388
Er 0.194 0.806 0.194
Er 0.388 0.194 0.388
Er 0.388 0.388 0.194
Er 0.612 0.000 0.806
Er 0.612 0.806 0.000
Er 0.806 0.000 0.612
Er 0.806 0.194 0.194
Er 0.806 0.612 0.000